Record 1
The following is a DFT calculation (PBE-GGA) of a relaxed structure of Ca2RuRhN.

Output
Space-group type: P4/mmm (123)
Energy in eV per cell: -30.63
Calculated density in kg/m³: 5461
Formation energy from raw total energies in meV/atom: -335.3

Lattice parameters (Å, degrees): 4.897 4.897 3.780 90.00 90.00 90.00
Element x y z (fractional)
Ca1 0.000 0.500 0.000
Ca2 0.500 0.000 0.000
Ru1 0.000 0.000 0.500
Rh1 0.500 0.500 0.500
N1 0.000 0.000 0.000

***

Record 2
The following is a DFT calculation (PBE-GGA) of a relaxed structure of Na2ZnH3.

Output
Space-group type: C2/c (15)
Energy in eV per cell: -27.67
Calculated density in kg/m³: 2538

Lattice parameters (Å, degrees): 5.427 5.427 6.601 108.14 108.14 55.32
Element x y z (fractional)
Na1 0.159 0.168 0.081
Na2 0.168 0.159 0.581
Na3 0.832 0.841 0.419
Na4 0.841 0.832 0.919
Zn1 0.500 0.500 0.250
Zn2 0.500 0.500 0.750
H1 0.157 0.843 0.750
H2 0.363 0.364 0.934
H3 0.364 0.363 0.434
H4 0.636 0.637 0.566
H5 0.637 0.636 0.066
H6 0.843 0.157 0.250